Record 1
# Be2Zn2Br

Crystalline Be2Zn2Br at its relaxed geometry (GGA-PBE, Alexandria).

Properties
Formation energy from raw total energies (eV/atom): 0.47
Space-group type: No. 127
Volume (Å³/atom): 15.5
Magnetization (μB/atom): 0.00

Lattice parameters (Å, degrees): 7.0929 7.0929 3.0744 90.00 90.00 90.00
Fractional positions:
Be: 0.3858 0.8858 0.0000
Be: 0.8858 0.6142 0.0000
Be: 0.6142 0.1142 0.0000
Be: 0.1142 0.3858 0.0000
Zn: 0.1757 0.6757 0.5000
Zn: 0.6757 0.8243 0.5000
Zn: 0.8243 0.3243 0.5000
Zn: 0.3243 0.1757 0.5000
Br: 0.0000 0.0000 0.0000
Br: 0.5000 0.5000 0.0000

---

Record 2
# Be2ZnBr

Crystalline Be2ZnBr at its relaxed geometry (GGA-PBE, Alexandria).

Properties
Formation energy from raw total energies (eV/atom): 0.59
Space-group type: No. 65
Volume (Å³/atom): 16.6
Magnetization (μB/atom): 0.00

Lattice parameters (Å, degrees): 3.2794 3.2794 7.4109 90.00 90.00 123.38
Fractional positions:
Be: 0.0000 0.0000 0.9916
Be: 0.0000 0.0000 0.5084
Zn: 0.5000 0.5000 0.7500
Br: 0.5000 0.5000 0.2500

---

Record 3
# Be2ZnBr

Crystalline Be2ZnBr at its relaxed geometry (GGA-PBE, Alexandria).

Properties
Formation energy from raw total energies (eV/atom): 0.49
Space-group type: No. 35
Volume (Å³/atom): 18.5
Magnetization (μB/atom): 0.00

Lattice parameters (Å, degrees): 3.3107 3.3107 8.0216 90.00 90.00 122.78
Fractional positions:
Be: 0.0000 0.0000 0.0267
Be: 0.5000 0.5000 0.2333
Zn: 0.5000 0.5000 0.8144
Br: 0.0000 0.0000 0.4256

---

Record 4
# BeZn2Br

Crystalline BeZn2Br at its relaxed geometry (GGA-PBE, Alexandria).

Properties
Formation energy from raw total energies (eV/atom): 0.31
Space-group type: No. 65
Volume (Å³/atom): 19.1
Magnetization (μB/atom): 0.00

Lattice parameters (Å, degrees): 3.3926 3.3926 7.7365 90.00 90.00 120.85
Fractional positions:
Be: 0.5000 0.5000 0.2500
Zn: 0.0000 0.0000 0.0307
Zn: 0.0000 0.0000 0.4693
Br: 0.5000 0.5000 0.7500